PBE-GGA Tm4Al2Tl, optimized geometry; SG = R-3m (166); mass density = 8.43 g/cm³; E = -29.07 eV per cell; energy of formation from the pure elements = -0.19 eV per atom
1.0
2.537 1.465 8.253
-2.537 1.465 8.253
0.000 -2.929 8.253
Tm Al Tl
4 2 1
Direct
0.116 0.116 0.116
0.370 0.370 0.370
0.630 0.630 0.630
0.884 0.884 0.884
0.250 0.250 0.250
0.750 0.750 0.750
0.500 0.500 0.500